1.
# La5TbY4

Crystalline La5TbY4 at its relaxed geometry (PBE, Alexandria).

Values from the calculation:
crystal system = triclinic
DOS at the Fermi energy = 16.91 states/eV per cell
DFT total energy = -5.322 eV/atom
magnetic moment = 0.000 μB/f.u.

a b c (Å): 3.576 11.171 9.427
angles (deg): 104.13 100.91 89.95
Element x y z (fractional)
1 La 0.168 0.533 0.339
2 La 0.160 0.905 0.320
3 La 0.840 0.095 0.680
4 La 0.500 0.500 0.000
5 La 0.832 0.467 0.661
6 Tb 0.500 0.000 0.000
7 Y 0.676 0.215 0.353
8 Y 0.027 0.259 0.054
9 Y 0.324 0.785 0.647
10 Y 0.973 0.741 0.946

2.
# La4Tb2Y5

Crystalline La4Tb2Y5 at its relaxed geometry (PBE, Alexandria).

Values from the calculation:
crystal system = monoclinic
DOS at the Fermi energy = 18.86 states/eV per cell
DFT total energy = -5.484 eV/atom
magnetic moment = 0.000 μB/f.u.

a b c (Å): 3.556 11.834 9.108
angles (deg): 94.28 101.26 90.00
Element x y z (fractional)
1 La 0.359 0.203 0.718
2 La 0.962 0.738 0.923
3 La 0.641 0.797 0.282
4 La 0.038 0.262 0.077
5 Tb 0.715 0.357 0.431
6 Tb 0.285 0.643 0.569
7 Y 0.902 0.460 0.805
8 Y 0.098 0.540 0.195
9 Y 0.821 0.928 0.643
10 Y 0.500 0.000 0.000
11 Y 0.179 0.072 0.357

3.
# La2Tb4Y7

Crystalline La2Tb4Y7 at its relaxed geometry (PBE, Alexandria).

Values from the calculation:
crystal system = trigonal
DOS at the Fermi energy = 20.35 states/eV per cell
DFT total energy = -5.478 eV/atom
magnetic moment = 0.000 μB/f.u.

a b c (Å): 6.129 6.129 13.429
angles (deg): 90.00 90.00 120.00
Element x y z (fractional)
1 La 0.667 0.333 0.000
2 La 0.333 0.667 0.000
3 Tb 0.000 0.000 0.605
4 Tb 0.000 0.000 0.395
5 Tb 0.667 0.333 0.500
6 Tb 0.333 0.667 0.500
7 Y 0.000 0.354 0.783
8 Y 0.000 0.646 0.217
9 Y 0.000 0.000 0.000
10 Y 0.354 0.000 0.783
11 Y 0.646 0.000 0.217
12 Y 0.354 0.354 0.217
13 Y 0.646 0.646 0.783

4.
# La7Tb2Y2

Crystalline La7Tb2Y2 at its relaxed geometry (PBE, Alexandria).

Values from the calculation:
crystal system = triclinic
DOS at the Fermi energy = 14.97 states/eV per cell
DFT total energy = -5.030 eV/atom
magnetic moment = 0.000 μB/f.u.

a b c (Å): 9.631 9.177 5.855
angles (deg): 50.32 90.02 83.50
Element x y z (fractional)
1 La 0.310 0.007 0.492
2 La 0.651 0.541 0.959
3 La 0.690 0.993 0.508
4 La 0.349 0.459 0.041
5 La 0.000 0.000 0.000
6 La 0.826 0.558 0.442
7 La 0.174 0.442 0.558
8 Tb 0.449 0.748 0.252
9 Tb 0.551 0.252 0.748
10 Y 0.019 0.728 0.773
11 Y 0.981 0.272 0.227

5.
# La5TbY8

Crystalline La5TbY8 at its relaxed geometry (PBE, Alexandria).

Values from the calculation:
crystal system = tetragonal
DOS at the Fermi energy = 20.98 states/eV per cell
DFT total energy = -5.553 eV/atom
magnetic moment = 0.000 μB/f.u.

a b c (Å): 8.576 8.576 8.576
angles (deg): 110.88 110.88 106.70
Element x y z (fractional)
1 La 0.031 0.703 0.892
2 La 0.861 0.969 0.673
3 La 0.812 0.139 0.108
4 La 0.500 0.500 0.000
5 La 0.297 0.188 0.327
6 Tb 0.250 0.750 0.500
7 Y 0.173 0.432 0.093
8 Y 0.920 0.827 0.258
9 Y 0.729 0.475 0.399
10 Y 0.670 0.271 0.747
11 Y 0.525 0.924 0.253
12 Y 0.568 0.662 0.742
13 Y 0.338 0.080 0.907
14 Y 0.076 0.330 0.601

6.
# LaTb3Y4

Crystalline LaTb3Y4 at its relaxed geometry (PBE, Alexandria).

Values from the calculation:
crystal system = orthorhombic
DOS at the Fermi energy = 28.74 states/eV per cell
DFT total energy = -5.569 eV/atom
magnetic moment = 0.001 μB/f.u.

a b c (Å): 6.329 7.334 11.436
angles (deg): 90.00 90.00 90.00
Element x y z (fractional)
1 La 0.148 0.377 0.000
2 La 0.648 0.623 0.500
3 Tb 0.649 0.627 0.000
4 Tb 0.980 0.626 0.251
5 Tb 0.480 0.374 0.249
6 Tb 0.149 0.373 0.500
7 Tb 0.480 0.374 0.751
8 Tb 0.980 0.626 0.749
9 Y 0.146 0.875 0.000
10 Y 0.646 0.123 0.000
11 Y 0.983 0.125 0.252
12 Y 0.483 0.875 0.248
13 Y 0.146 0.877 0.500
14 Y 0.646 0.125 0.500
15 Y 0.483 0.875 0.752
16 Y 0.983 0.125 0.748

7.
# La7Tb2Y3

Crystalline La7Tb2Y3 at its relaxed geometry (PBE, Alexandria).

Values from the calculation:
crystal system = monoclinic
DOS at the Fermi energy = 17.33 states/eV per cell
DFT total energy = -5.202 eV/atom
magnetic moment = 0.000 μB/f.u.

a b c (Å): 3.590 6.560 18.405
angles (deg): 74.82 90.00 90.00
Element x y z (fractional)
1 La 0.500 0.230 0.508
2 La 0.500 0.770 0.492
3 La 0.000 0.557 0.168
4 La 0.000 0.000 0.000
5 La 0.000 0.443 0.832
6 La 0.500 0.947 0.828
7 La 0.500 0.053 0.172
8 Tb 0.500 0.613 0.331
9 Tb 0.500 0.387 0.669
10 Y 0.500 0.500 0.000
11 Y 0.000 0.119 0.338
12 Y 0.000 0.881 0.662

8.
# La8TbY3

Crystalline La8TbY3 at its relaxed geometry (PBE, Alexandria).

Values from the calculation:
crystal system = orthorhombic
DOS at the Fermi energy = 18.71 states/eV per cell
DFT total energy = -4.983 eV/atom
magnetic moment = 0.000 μB/f.u.

a b c (Å): 8.816 8.815 8.815
angles (deg): 96.92 100.55 134.14
Element x y z (fractional)
1 La 0.503 0.279 0.224
2 La 0.498 0.721 0.776
3 La 0.945 0.721 0.224
4 La 0.055 0.279 0.776
5 La 0.163 0.250 0.414
6 La 0.837 0.250 0.087
7 La 0.163 0.750 0.913
8 La 0.837 0.750 0.586
9 Tb 0.000 0.000 0.000
10 Y 0.500 0.736 0.236
11 Y 0.500 0.264 0.764
12 Y 0.000 0.500 0.500

9.
# LaTb4Y6

Crystalline LaTb4Y6 at its relaxed geometry (PBE, Alexandria).

Values from the calculation:
crystal system = hexagonal
DOS at the Fermi energy = 20.19 states/eV per cell
DFT total energy = -5.488 eV/atom
magnetic moment = 0.000 μB/f.u.

a b c (Å): 3.570 11.046 11.046
angles (deg): 120.00 90.00 90.00
Element x y z (fractional)
1 La 0.000 0.000 0.000
2 Tb 0.500 0.828 0.656
3 Tb 0.500 0.344 0.172
4 Tb 0.500 0.828 0.172
5 Tb 0.000 0.333 0.667
6 Y 0.000 0.509 0.018
7 Y 0.500 0.639 0.820
8 Y 0.000 0.509 0.491
9 Y 0.000 0.982 0.491
10 Y 0.500 0.180 0.820
11 Y 0.500 0.180 0.361

10.
# La5Tb2Y5

Crystalline La5Tb2Y5 at its relaxed geometry (PBE, Alexandria).

Values from the calculation:
crystal system = monoclinic
DOS at the Fermi energy = 19.58 states/eV per cell
DFT total energy = -5.491 eV/atom
magnetic moment = 0.000 μB/f.u.

a b c (Å): 5.158 10.900 8.168
angles (deg): 98.62 71.60 76.31
Element x y z (fractional)
1 La 0.667 0.252 0.414
2 La 0.996 0.253 0.755
3 La 0.004 0.747 0.245
4 La 0.333 0.748 0.586
5 La 0.000 0.000 0.000
6 Tb 0.332 0.500 0.835
7 Tb 0.668 0.500 0.165
8 Y 0.000 0.500 0.500
9 Y 0.669 0.746 0.916
10 Y 0.333 0.000 0.334
11 Y 0.667 0.000 0.666
12 Y 0.331 0.254 0.084

11.
# La5Tb2Y3

Crystalline La5Tb2Y3 at its relaxed geometry (PBE, Alexandria).

Values from the calculation:
crystal system = monoclinic
DOS at the Fermi energy = 35.76 states/eV per cell
DFT total energy = -5.168 eV/atom
magnetic moment = 0.000 μB/f.u.

a b c (Å): 10.283 10.256 11.403
angles (deg): 129.96 130.02 64.71
Element x y z (fractional)
1 La 0.276 0.526 0.052
2 La 0.724 0.474 0.948
3 La 0.025 0.775 0.551
4 La 0.514 0.264 0.527
5 La 0.975 0.225 0.449
6 La 0.486 0.736 0.473
7 La 0.885 0.633 0.759
8 La 0.115 0.367 0.241
9 La 0.374 0.126 0.759
10 La 0.626 0.874 0.241
11 Tb 0.783 0.036 0.755
12 Tb 0.217 0.964 0.245
13 Tb 0.472 0.719 0.755
14 Tb 0.528 0.281 0.245
15 Y 0.232 0.982 0.965
16 Y 0.768 0.018 0.035
17 Y 0.720 0.472 0.249
18 Y 0.280 0.528 0.751
19 Y 0.029 0.777 0.249
20 Y 0.971 0.223 0.751

12.
# LaTb8Y4

Crystalline LaTb8Y4 at its relaxed geometry (PBE, Alexandria).

Values from the calculation:
crystal system = trigonal
DOS at the Fermi energy = 21.95 states/eV per cell
DFT total energy = -4.690 eV/atom
magnetic moment = 1.017 μB/f.u.

a b c (Å): 11.047 11.047 7.823
angles (deg): 90.00 134.91 120.00
Last column: magnetic moment on the atom in μB.
Element x y z (fractional)
1 La 0.000 0.500 0.500  0.04
2 Tb 0.522 0.761 0.282  0.05
3 Tb 0.478 0.239 0.718  0.05
4 Tb 0.479 0.240 0.241  0.05
5 Tb 0.999 0.238 0.759  0.05
6 Tb 0.521 0.760 0.759  0.05
7 Tb 0.999 0.760 0.759  0.05
8 Tb 0.001 0.240 0.241  0.05
9 Tb 0.001 0.762 0.241  0.05
10 Y 0.000 0.000 0.000  -0.04
11 Y 0.000 0.500 0.000  0.09
12 Y 0.500 0.500 0.000  0.09
13 Y 0.500 0.000 0.000  0.09

Q: Look up the DOS at the Fermi energy of the eleventh one.
A: 35.76 states/eV per cell

Q: Look up the DFT total energy of the eighth one.
A: -4.983 eV/atom

Q: Which of these has the highest DOS at the Fermi energy?
A: La5Tb2Y3